[1]
Compound: ThZr5Sc12
Source: Alexandria via LeMat-Bulk
Functional: GGA-PBE
Structure: optimized geometry

a b c (Å): 5.650 5.652 15.930
angles (deg): 93.38 96.78 60.01
Atoms (fractional coordinates):
1 Th 0.000 0.000 0.000
2 Zr 0.500 0.000 0.500
3 Zr 0.167 0.666 0.500
4 Zr 0.833 0.334 0.500
5 Zr 0.667 0.667 0.000
6 Zr 0.333 0.333 0.000
7 Sc 0.780 0.000 0.340
8 Sc 0.220 0.000 0.660
9 Sc 0.608 0.000 0.832
10 Sc 0.392 0.000 0.168
11 Sc 0.279 0.664 0.832
12 Sc 0.056 0.664 0.168
13 Sc 0.944 0.336 0.832
14 Sc 0.721 0.336 0.168
15 Sc 0.553 0.334 0.660
16 Sc 0.886 0.666 0.660
17 Sc 0.114 0.334 0.340
18 Sc 0.447 0.666 0.340

Energy in eV per atom: -6.996
Symmetry: C2/m

[2]
Compound: ScTi3
Source: Alexandria via LeMat-Bulk
Functional: GGA-PBE
Structure: optimized geometry

a b c (Å): 3.019 5.245 5.619
angles (deg): 117.82 105.58 90.00
Atoms (fractional coordinates):
1 Sc 0.000 0.998 0.000
2 Ti 0.246 0.580 0.492
3 Ti 0.500 0.502 0.000
4 Ti 0.754 0.087 0.508

Energy in eV per atom: -7.438
Symmetry: Imm2

The highest energy belongs to which entry? ThZr5Sc12

The lowest energy belongs to which entry? ScTi3

energy of number 2 (ScTi3)? -7.438 eV per atom